# SmHo2S3, optimized geometry, DFT GGA-PBE
data_SmHo2S3
_cell_length_a 3.9297
_cell_length_b 5.5503
_cell_length_c 11.7763
_cell_angle_alpha 90.00
_cell_angle_beta 90.00
_cell_angle_gamma 90.00
_symmetry_space_group_name_H-M 'P 1'
_symmetry_Int_Tables_number 1
_symmetry_space_group_name_Hall 'P 1'
loop_
_atom_site_label
_atom_site_type_symbol
_atom_site_fract_x
_atom_site_fract_y
_atom_site_fract_z
Sm1 Sm 0.0000 0.0000 0.0000
Sm2 Sm 0.5000 0.5000 0.5000
Ho1 Ho 0.0000 0.0000 0.3374
Ho2 Ho 0.0000 0.0000 0.6626
Ho3 Ho 0.5000 0.5000 0.1626
Ho4 Ho 0.5000 0.5000 0.8374
S1 S 0.0000 0.5000 0.0000
S2 S 0.0000 0.5000 0.3261
S3 S 0.0000 0.5000 0.6739
S4 S 0.5000 0.0000 0.1739
S5 S 0.5000 0.0000 0.5000
S6 S 0.5000 0.0000 0.8261
# M_tot: 0.00 μB/atom
# total energy: -76.356 eV/cell

# HoMgTiAl, optimized geometry, DFT GGA-PBE
data_HoMgTiAl
_cell_length_a 6.9129
_cell_length_b 6.9129
_cell_length_c 6.9129
_cell_angle_alpha 90.00
_cell_angle_beta 90.00
_cell_angle_gamma 90.00
_symmetry_space_group_name_H-M 'P 1'
_symmetry_Int_Tables_number 1
_symmetry_space_group_name_Hall 'P 1'
loop_
_atom_site_label
_atom_site_type_symbol
_atom_site_fract_x
_atom_site_fract_y
_atom_site_fract_z
Ho1 Ho 0.0000 0.0000 0.0000
Ho2 Ho 0.0000 0.5000 0.5000
Ho3 Ho 0.5000 0.0000 0.5000
Ho4 Ho 0.5000 0.5000 0.0000
Mg1 Mg 0.2500 0.2500 0.7500
Mg2 Mg 0.2500 0.7500 0.2500
Mg3 Mg 0.7500 0.2500 0.2500
Mg4 Mg 0.7500 0.7500 0.7500
Ti1 Ti 0.0000 0.0000 0.5000
Ti2 Ti 0.0000 0.5000 0.0000
Ti3 Ti 0.5000 0.0000 0.0000
Ti4 Ti 0.5000 0.5000 0.5000
Al1 Al 0.2500 0.2500 0.2500
Al2 Al 0.2500 0.7500 0.7500
Al3 Al 0.7500 0.2500 0.7500
Al4 Al 0.7500 0.7500 0.2500
# energy of formation from the pure elements: -0.09 eV/atom
# M_tot: 0.00 μB/atom
# total energy: -72.615 eV/cell

What is the formula in the first record? SmHo2S3

Which of these has the highest total energy? HoMgTiAl

Number 2 is which compound? HoMgTiAl